# 1
! ThZr2Ga2, optimized geometry, DFT PBE-GGA; values from VASP
! E_form = -2 kJ/mol of atoms
! Density of states at the Fermi level = 1.360 states/eV/atom
! Total DFT energy (no corrections) = -6.14 eV per atom
! SG = C2/c (15)
! Density = 7.5 Mg/m³
&SYSTEM
  ibrav = 0, nat = 10, ntyp = 3
/
ATOMIC_SPECIES
Th 232.04 Th.upf
Zr 91.22 Zr.upf
Ga 69.72 Ga.upf
CELL_PARAMETERS angstrom
2.8711 -5.4987 0.0000
2.8711 5.4987 0.0000
-2.8426 0.0000 7.8193
ATOMIC_POSITIONS angstrom
Th 0.7391 4.1107 5.8645
Th 2.1604 -4.1107 1.9548
Zr 2.1588 1.3889 0.3622
Zr 2.1620 1.3889 3.5474
Zr 0.7375 -1.3889 4.2719
Zr 0.7407 -1.3889 7.4571
Ga 2.1604 3.7349 1.9548
Ga 0.7391 0.9487 5.8645
Ga 2.1604 -0.9487 1.9548
Ga 0.7391 -3.7349 5.8645

# 2
! ThZr2Ga6, optimized geometry, DFT PBE-GGA; values from VASP
! E_form = -37 kJ/mol of atoms
! Density of states at the Fermi level = 0.621 states/eV/atom
! Total DFT energy (no corrections) = -5.12 eV per atom
! SG = Immm (71)
! Density = 7.4 Mg/m³
&SYSTEM
  ibrav = 0, nat = 9, ntyp = 3
/
ATOMIC_SPECIES
Th 232.04 Th.upf
Zr 91.22 Zr.upf
Ga 69.72 Ga.upf
CELL_PARAMETERS angstrom
-2.0880 3.4532 6.4547
2.0880 -3.4532 6.4547
2.0880 3.4532 -6.4547
ATOMIC_POSITIONS angstrom
Th 0.0000 0.0000 0.0000
Zr 2.0880 0.0000 4.8909
Zr 0.0000 3.4532 1.5638
Ga 2.0880 1.4061 -2.4239
Ga 2.0880 2.2086 0.0000
Ga 2.0880 1.4061 2.4239
Ga 0.0000 2.0471 4.0308
Ga 0.0000 1.2446 6.4547
Ga 0.0000 2.0471 8.8786

# 3
! ThZrGa, optimized geometry, DFT PBE-GGA; values from VASP
! E_form = -20 kJ/mol of atoms
! Density of states at the Fermi level = 1.428 states/eV/atom
! Total DFT energy (no corrections) = -6.54 eV per atom
! Energy relative to the lowest polymorph listed for this composition = 123 meV per atom
! SG = I4mm (107)
! Density = 9.0 Mg/m³
&SYSTEM
  ibrav = 0, nat = 3, ntyp = 3
/
ATOMIC_SPECIES
Th 232.04 Th.upf
Zr 91.22 Zr.upf
Ga 69.72 Ga.upf
CELL_PARAMETERS angstrom
-1.6643 1.6643 6.5236
1.6643 -1.6643 6.5236
1.6643 1.6643 -6.5236
ATOMIC_POSITIONS angstrom
Th 0.0000 0.0000 0.0000
Zr 0.0000 0.0000 3.9740
Ga 0.0000 0.0000 8.7365

# 4
! ThZrGa2, optimized geometry, DFT PBE-GGA; values from VASP
! E_form = -34 kJ/mol of atoms
! Density of states at the Fermi level = 0.893 states/eV/atom
! Total DFT energy (no corrections) = -5.85 eV per atom
! Energy relative to the lowest polymorph listed for this composition = 142 meV per atom
! SG = P4/mmm (123)
! Density = 8.6 Mg/m³
&SYSTEM
  ibrav = 0, nat = 4, ntyp = 3
/
ATOMIC_SPECIES
Th 232.04 Th.upf
Zr 91.22 Zr.upf
Ga 69.72 Ga.upf
CELL_PARAMETERS angstrom
4.6087 0.0000 0.0000
0.0000 4.6087 0.0000
0.0000 0.0000 4.2202
ATOMIC_POSITIONS angstrom
Th 0.0000 0.0000 0.0000
Zr 2.3044 2.3044 0.0000
Ga 0.0000 2.3044 2.1101
Ga 2.3044 0.0000 2.1101

# 5
! ThZr2Ga, optimized geometry, DFT PBE-GGA; values from VASP
! E_form = -20 kJ/mol of atoms
! Density of states at the Fermi level = 1.202 states/eV/atom
! Total DFT energy (no corrections) = -7.10 eV per atom
! Energy relative to the lowest polymorph listed for this composition = 4 meV per atom
! SG = P4/mmm (123)
! Density = 8.7 Mg/m³
&SYSTEM
  ibrav = 0, nat = 4, ntyp = 3
/
ATOMIC_SPECIES
Th 232.04 Th.upf
Zr 91.22 Zr.upf
Ga 69.72 Ga.upf
CELL_PARAMETERS angstrom
3.6139 0.0000 0.0000
0.0000 3.6139 0.0000
0.0000 0.0000 7.0561
ATOMIC_POSITIONS angstrom
Th 0.0000 0.0000 0.0000
Zr 1.8069 1.8069 2.0371
Zr 1.8069 1.8069 5.0190
Ga 0.0000 0.0000 3.5281

# 6
! ThZr4Ga4, optimized geometry, DFT PBE-GGA; values from VASP
! E_form = -20 kJ/mol of atoms
! Density of states at the Fermi level = 0.843 states/eV/atom
! Total DFT energy (no corrections) = -6.18 eV per atom
! SG = P4_2/n (86)
! Density = 6.6 Mg/m³
&SYSTEM
  ibrav = 0, nat = 18, ntyp = 3
/
ATOMIC_SPECIES
Th 232.04 Th.upf
Zr 91.22 Zr.upf
Ga 69.72 Ga.upf
CELL_PARAMETERS angstrom
9.0157 0.0000 0.0000
0.0000 9.0157 0.0000
0.0000 0.0000 5.4186
ATOMIC_POSITIONS angstrom
Th 2.2539 2.2539 1.3546
Th 6.7618 6.7618 4.0639
Zr 1.0619 5.7482 0.7614
Zr 1.2403 7.9538 3.4707
Zr 3.2675 5.5698 3.4707
Zr 3.4460 7.7754 0.7614
Zr 5.5698 1.2403 4.6571
Zr 5.7482 3.4460 1.9478
Zr 7.7754 1.0619 1.9478
Zr 7.9538 3.2675 4.6571
Ga 0.5416 5.2404 3.5453
Ga 0.7326 8.4741 0.8360
Ga 3.7753 5.0495 0.8360
Ga 3.9662 8.2831 3.5453
Ga 5.0495 0.7326 1.8733
Ga 5.2404 3.9662 4.5826
Ga 8.2831 0.5416 4.5826
Ga 8.4741 3.7753 1.8733

# 7
! ThZrGa2, optimized geometry, DFT PBE-GGA; values from VASP
! E_form = -25 kJ/mol of atoms
! Density of states at the Fermi level = 0.735 states/eV/atom
! Total DFT energy (no corrections) = -5.76 eV per atom
! Energy relative to the lowest polymorph listed for this composition = 233 meV per atom
! SG = R-3m (166)
! Density = 8.0 Mg/m³
&SYSTEM
  ibrav = 0, nat = 4, ntyp = 3
/
ATOMIC_SPECIES
Th 232.04 Th.upf
Zr 91.22 Zr.upf
Ga 69.72 Ga.upf
CELL_PARAMETERS angstrom
1.8522 1.0694 8.0751
-1.8522 1.0694 8.0751
0.0000 -2.1388 8.0751
ATOMIC_POSITIONS angstrom
Th 0.0000 0.0000 0.0000
Zr 0.0000 0.0000 12.1127
Ga 0.0000 0.0000 5.8585
Ga 0.0000 0.0000 18.3669

# 8
! ThZr2Ga, optimized geometry, DFT PBE-GGA; values from VASP
! E_form = -7 kJ/mol of atoms
! Density of states at the Fermi level = 1.096 states/eV/atom
! Total DFT energy (no corrections) = -6.96 eV per atom
! Energy relative to the lowest polymorph listed for this composition = 138 meV per atom
! SG = R3m (160)
! Density = 8.5 Mg/m³
&SYSTEM
  ibrav = 0, nat = 4, ntyp = 3
/
ATOMIC_SPECIES
Th 232.04 Th.upf
Zr 91.22 Zr.upf
Ga 69.72 Ga.upf
CELL_PARAMETERS angstrom
1.6695 0.9639 9.8490
-1.6695 0.9639 9.8490
0.0000 -1.9278 9.8490
ATOMIC_POSITIONS angstrom
Th 0.0000 0.0000 0.0000
Zr 0.0000 0.0000 7.1163
Zr 0.0000 0.0000 12.5669
Ga 0.0000 0.0000 24.6158

# 9
! Ti2Ga, optimized geometry, DFT PBE-GGA; values from VASP
! E_form = -39 kJ/mol of atoms
! Density of states at the Fermi level = 1.439 states/eV/atom
! Total DFT energy (no corrections) = -6.68 eV per atom
! SG = P6_3/mmc (194)
! Density = 5.7 Mg/m³
&SYSTEM
  ibrav = 0, nat = 6, ntyp = 2
/
ATOMIC_SPECIES
Ti 47.87 Ti.upf
Ga 69.72 Ga.upf
CELL_PARAMETERS angstrom
4.5257 0.0000 0.0000
-2.2629 3.9194 0.0000
0.0000 0.0000 5.4664
ATOMIC_POSITIONS angstrom
Ti 0.0000 0.0000 0.0000
Ti 0.0000 0.0000 2.7332
Ti 0.0000 2.6129 1.3666
Ti 2.2629 1.3065 4.0998
Ga 0.0000 2.6129 4.0998
Ga 2.2629 1.3065 1.3666

# 10
! Ti5Ga4, optimized geometry, DFT PBE-GGA; values from VASP
! E_form = -26 kJ/mol of atoms
! Density of states at the Fermi level = 1.013 states/eV/atom
! Total DFT energy (no corrections) = -6.00 eV per atom
! Energy relative to the lowest polymorph listed for this composition = 169 meV per atom
! SG = I4/mmm (139)
! Density = 5.8 Mg/m³
&SYSTEM
  ibrav = 0, nat = 9, ntyp = 2
/
ATOMIC_SPECIES
Ti 47.87 Ti.upf
Ga 69.72 Ga.upf
CELL_PARAMETERS angstrom
-4.2844 4.2844 2.0090
4.2844 -4.2844 2.0090
4.2844 4.2844 -2.0090
ATOMIC_POSITIONS angstrom
Ti 0.0000 0.0000 0.0000
Ti 2.8205 2.8205 0.0000
Ti 1.4639 -1.4639 2.0090
Ti -1.4639 1.4639 2.0090
Ti 1.4639 1.4639 2.0090
Ga 2.7491 0.0000 0.0000
Ga 5.8198 0.0000 0.0000
Ga 0.0000 2.7491 0.0000
Ga 0.0000 5.8198 0.0000

# 11
! Ti4Ga, optimized geometry, DFT PBE-GGA; values from VASP
! E_form = 68 kJ/mol of atoms
! Density of states at the Fermi level = 1.459 states/eV/atom
! Total DFT energy (no corrections) = -6.22 eV per atom
! Energy relative to the lowest polymorph listed for this composition = 871 meV per atom
! SG = Pm-3m (221)
! Density = 4.1 Mg/m³
&SYSTEM
  ibrav = 0, nat = 5, ntyp = 2
/
ATOMIC_SPECIES
Ti 47.87 Ti.upf
Ga 69.72 Ga.upf
CELL_PARAMETERS angstrom
4.7148 0.0000 0.0000
0.0000 4.7148 0.0000
0.0000 0.0000 4.7148
ATOMIC_POSITIONS angstrom
Ti 0.0000 0.0000 0.0000
Ti 0.0000 2.3574 2.3574
Ti 2.3574 0.0000 2.3574
Ti 2.3574 2.3574 0.0000
Ga 2.3574 2.3574 2.3574

# 12
! Ti8Ga, optimized geometry, DFT PBE-GGA; values from VASP
! E_form = -11 kJ/mol of atoms
! Density of states at the Fermi level = 1.159 states/eV/atom
! Total DFT energy (no corrections) = -7.47 eV per atom
! SG = I4/mmm (139)
! Density = 4.9 Mg/m³
&SYSTEM
  ibrav = 0, nat = 9, ntyp = 2
/
ATOMIC_SPECIES
Ti 47.87 Ti.upf
Ga 69.72 Ga.upf
CELL_PARAMETERS angstrom
-4.3809 4.3809 1.9800
4.3809 -4.3809 1.9800
4.3809 4.3809 -1.9800
ATOMIC_POSITIONS angstrom
Ti 2.9208 0.0000 0.0000
Ti 5.8410 0.0000 0.0000
Ti 0.0000 2.9208 0.0000
Ti 2.9304 2.9304 0.0000
Ti 1.4505 -1.4505 1.9800
Ti -1.4505 1.4505 1.9800
Ti 1.4505 1.4505 1.9800
Ti 0.0000 5.8410 0.0000
Ga 0.0000 0.0000 0.0000